Crystalline Mn3NiO8 at its relaxed geometry. Source: Alexandria via LeMat-Bulk, functional PBE with a Hubbard U.

Output
As for the total magnetization: 9.0 μB per formula unit. As for the total energy: -77.6 eV for the cell shown. As for the offset from the most stable computed form: 0.00 eV per formula unit.

a = 5.9268 Å, b = 5.9268 Å, c = 5.9268 Å
α = 58.70°, β = 58.70°, γ = 58.70°
Last column: nearest neighbours and their distance in Å.
Fractional positions:
Mn1 0.0000 0.5000 0.5000  6 O 1.93-1.94
Mn2 0.5000 0.0000 0.5000  6 O 1.93-1.94
Mn3 0.5000 0.5000 0.0000  6 O 1.93-1.94
Ni1 0.0000 0.0000 0.0000  6 O 1.91
O1 0.2294 0.2294 0.7365  1 Ni 1.91, 2 Mn 1.94
O2 0.2294 0.7365 0.2294  1 Ni 1.91, 2 Mn 1.94
O3 0.2635 0.7706 0.7706  1 Ni 1.91, 2 Mn 1.94
O4 0.2678 0.2678 0.2678  3 Mn 1.93
O5 0.7322 0.7322 0.7322  3 Mn 1.93
O6 0.7365 0.2294 0.2294  1 Ni 1.91, 2 Mn 1.94
O7 0.7706 0.2635 0.7706  1 Ni 1.91, 2 Mn 1.94
O8 0.7706 0.7706 0.2635  1 Ni 1.91, 2 Mn 1.94